No. 1
This record from Alexandria via LeMat-Bulk describes a relaxed structure of EuGeAs. The functional is PBE-GGA.

a = 4.545 Å, b = 4.545 Å, c = 4.135 Å
α = 90.00°, β = 90.00°, γ = 120.00°
Atoms (fractional coordinates):
Eu 0.000 0.000 0.000
Ge 0.333 0.667 0.500
As 0.667 0.333 0.500

* energy relative to the elements: -62 kJ per mole of atoms
* V: 24.7 A^3/atom

***

No. 2
This record from Alexandria via LeMat-Bulk describes a relaxed structure of EuAsH2. The functional is PBE-GGA.

a = 4.386 Å, b = 4.386 Å, c = 4.386 Å
α = 58.15°, β = 58.15°, γ = 58.15°
Atoms (fractional coordinates):
Eu 0.000 0.000 0.000
As 0.500 0.500 0.500
H 0.331 0.331 0.331
H 0.669 0.669 0.669

* V: 14.3 A^3/atom
* energy: -5.738 eV/atom

***

No. 3
This record from Alexandria via LeMat-Bulk describes a relaxed structure of SrEuAsH. The functional is PBE-GGA.

a = 5.141 Å, b = 5.141 Å, c = 5.141 Å
α = 60.00°, β = 60.00°, γ = 60.00°
Atoms (fractional coordinates):
Sr 0.000 0.000 0.000
Eu 0.500 0.500 0.500
As 0.750 0.750 0.750
H 0.250 0.250 0.250

* V: 24.0 A^3/atom
* energy: -5.739 eV/atom

***

No. 4
This record from Alexandria via LeMat-Bulk describes a relaxed structure of EuHfAs2. The functional is PBE-GGA.

a = 7.200 Å, b = 7.200 Å, c = 7.200 Å
α = 32.16°, β = 32.16°, γ = 32.16°
Atoms (fractional coordinates):
Eu 0.000 0.000 0.000
Hf 0.500 0.500 0.500
As 0.240 0.240 0.240
As 0.760 0.760 0.760

* energy relative to the elements: -115 kJ per mole of atoms
* V: 23.5 A^3/atom

***

No. 5
This record from Alexandria via LeMat-Bulk describes a relaxed structure of EuHgAs4. The functional is PBE-GGA.

a = 5.810 Å, b = 5.810 Å, c = 5.810 Å
α = 60.00°, β = 60.00°, γ = 60.00°
Atoms (fractional coordinates):
Eu 0.000 0.000 0.000
Hg 0.750 0.750 0.750
As 0.383 0.383 0.383
As 0.383 0.383 0.850
As 0.383 0.850 0.383
As 0.850 0.383 0.383

* energy relative to the elements: -17 kJ per mole of atoms
* V: 23.1 A^3/atom

***

No. 6
This record from Alexandria via LeMat-Bulk describes a relaxed structure of EuHgAs2. The functional is PBE-GGA.

a = 4.670 Å, b = 4.670 Å, c = 4.166 Å
α = 90.00°, β = 90.00°, γ = 90.00°
Atoms (fractional coordinates):
Eu 0.000 0.000 0.000
Hg 0.500 0.500 0.000
As 0.000 0.500 0.500
As 0.500 0.000 0.500

* energy relative to the elements: -45 kJ per mole of atoms
* V: 22.7 A^3/atom

***

No. 7
This record from Alexandria via LeMat-Bulk describes a relaxed structure of LiEuHgAs. The functional is PBE-GGA.

a = 5.101 Å, b = 5.101 Å, c = 5.101 Å
α = 60.00°, β = 60.00°, γ = 60.00°
Atoms (fractional coordinates):
Li 0.000 0.000 0.000
Eu 0.500 0.500 0.500
Hg 0.750 0.750 0.750
As 0.250 0.250 0.250

* energy relative to the elements: -67 kJ per mole of atoms
* V: 23.5 A^3/atom

***

No. 8
This record from Alexandria via LeMat-Bulk describes a relaxed structure of EuHgAsPb. The functional is PBE-GGA.

a = 5.337 Å, b = 5.337 Å, c = 5.337 Å
α = 60.00°, β = 60.00°, γ = 60.00°
Atoms (fractional coordinates):
Eu 0.000 0.000 0.000
Hg 0.750 0.750 0.750
As 0.250 0.250 0.250
Pb 0.500 0.500 0.500

* energy relative to the elements: -41 kJ per mole of atoms
* V: 26.9 A^3/atom

***

No. 9
This record from Alexandria via LeMat-Bulk describes a relaxed structure of PmEuHgAs. The functional is PBE-GGA.

a = 5.307 Å, b = 5.307 Å, c = 5.307 Å
α = 60.00°, β = 60.00°, γ = 60.00°
Atoms (fractional coordinates):
Pm 0.000 0.000 0.000
Eu 0.500 0.500 0.500
Hg 0.750 0.750 0.750
As 0.250 0.250 0.250

* energy relative to the elements: -68 kJ per mole of atoms
* V: 26.4 A^3/atom

***

No. 10
This record from Alexandria via LeMat-Bulk describes a relaxed structure of EuPuHgAs. The functional is PBE-GGA.

a = 5.273 Å, b = 5.273 Å, c = 5.273 Å
α = 60.00°, β = 60.00°, γ = 60.00°
Atoms (fractional coordinates):
Eu 0.000 0.000 0.000
Pu 0.500 0.500 0.500
Hg 0.250 0.250 0.250
As 0.750 0.750 0.750

* energy relative to the elements: -55 kJ per mole of atoms
* V: 25.9 A^3/atom

***

No. 11
This record from Alexandria via LeMat-Bulk describes a relaxed structure of EuSnHgAs. The functional is PBE-GGA.

a = 5.268 Å, b = 5.268 Å, c = 5.268 Å
α = 60.00°, β = 60.00°, γ = 60.00°
Atoms (fractional coordinates):
Eu 0.000 0.000 0.000
Sn 0.500 0.500 0.500
Hg 0.250 0.250 0.250
As 0.750 0.750 0.750

* energy relative to the elements: -40 kJ per mole of atoms
* V: 25.8 A^3/atom

***

No. 12
This record from Alexandria via LeMat-Bulk describes a relaxed structure of EuTlHgAs. The functional is PBE-GGA.

a = 5.373 Å, b = 5.373 Å, c = 5.373 Å
α = 60.00°, β = 60.00°, γ = 60.00°
Atoms (fractional coordinates):
Eu 0.000 0.000 0.000
Tl 0.500 0.500 0.500
Hg 0.250 0.250 0.250
As 0.750 0.750 0.750

* energy relative to the elements: -42 kJ per mole of atoms
* V: 27.4 A^3/atom

***

> What is the formula in the eighth record?

EuHgAsPb

***

> Look up the V of the eighth one.

26.9 A^3/atom